Record 1
Below is crystalline NaHfTe2Cl at its relaxed geometry, with properties calculated at the GGA-PBE level.

Summary:
Fermi-level density of states (states/eV/atom): 1.18
Total DFT energy (no corrections) (eV per atom): -3.055
Crystal system: tetragonal
E_form (uncorrected) (eV per atom): 0.825

Cell lengths 5.2432, 5.2432, 5.5997 Å; angles 90.00, 90.00, 90.00 degrees
With the nearest neighbours (Å) after each atom.
Space group P4/mmm (No. 123)
Inequivalent atoms, fractional coordinates:
1 Na 0.0000 0.0000 0.0000 (multiplicity 1)  4 Te 2.62, 2 Hf 2.80
2 Hf 0.0000 0.0000 0.5000 (multiplicity 1)  2 Na 2.80
3 Te 0.0000 0.5000 0.0000 (multiplicity 2)  2 Na 2.62
4 Cl 0.5000 0.5000 0.5000 (multiplicity 1)  4 Hf 3.71, 8 Te 3.84



Record 2
Below is crystalline Na2HfTiCl at its relaxed geometry, with properties calculated at the GGA-PBE level.

Summary:
Fermi-level density of states (states/eV/atom): 1.64
Total DFT energy (no corrections) (eV per atom): -3.348
Crystal system: tetragonal
E_form (uncorrected) (eV per atom): 1.119

Cell lengths 6.2575, 6.2575, 4.7124 Å; angles 90.00, 90.00, 90.00 degrees
With the nearest neighbours (Å) after each atom.
Space group P4/mmm (No. 123)
Inequivalent atoms, fractional coordinates:
1 Na 0.0000 0.5000 0.0000 (multiplicity 2)  2 Hf 3.13
2 Hf 0.0000 0.0000 0.0000 (multiplicity 1)  2 Cl 2.36
3 Ti 0.5000 0.5000 0.5000 (multiplicity 1)  8 Na 3.92
4 Cl 0.0000 0.0000 0.5000 (multiplicity 1)  2 Hf 2.36



Record 3
Below is crystalline NaHfTlCl2 at its relaxed geometry, with properties calculated at the GGA-PBE level.

Summary:
Fermi-level density of states (states/eV/atom): 0.61
Total DFT energy (no corrections) (eV per atom): -3.190
Crystal system: tetragonal
E_form (uncorrected) (eV per atom): 0.276

Cell lengths 5.8178, 5.8178, 5.8084 Å; angles 90.00, 90.00, 90.00 degrees
With the nearest neighbours (Å) after each atom.
Space group P4/mmm (No. 123)
Inequivalent atoms, fractional coordinates:
1 Na 0.0000 0.0000 0.0000 (multiplicity 1)  8 Cl 4.11, 4 Hf 4.11
2 Hf 0.5000 0.5000 0.0000 (multiplicity 1)  2 Tl 2.90
3 Tl 0.5000 0.5000 0.5000 (multiplicity 1)  2 Hf 2.90, 4 Cl 2.91
4 Cl 0.0000 0.5000 0.5000 (multiplicity 2)  2 Tl 2.91



Record 4
Below is crystalline Na2HfTlCl8 at its relaxed geometry, with properties calculated at the GGA-PBE level.

Summary:
Fermi-level density of states (states/eV/atom): 0.17
Total DFT energy (no corrections) (eV per atom): -4.018
Crystal system: monoclinic
E_form (uncorrected) (eV per atom): -1.541

Cell lengths 6.2683, 8.7000, 6.4183 Å; angles 90.00, 94.92, 90.00 degrees
With the nearest neighbours (Å) after each atom.
Space group P2/m (No. 10)
Inequivalent atoms, fractional coordinates:
1 Na 0.0000 0.2397 0.0000 (multiplicity 2)  6 Cl 2.76-2.99
2 Hf 0.5000 0.0000 0.5000 (multiplicity 1)  6 Cl 2.46-2.47
3 Tl 0.5000 0.5000 0.5000 (multiplicity 1)  2 Cl 2.71
4 Cl 0.1904 0.5000 0.1785 (multiplicity 2)  1 Tl 2.71, 2 Na 2.76
5 Cl 0.2390 0.0000 0.1916 (multiplicity 2)  1 Hf 2.46
6 Cl 0.2950 0.2036 0.6618 (multiplicity 4)  1 Hf 2.47



Record 5
Below is crystalline NaHf2ZnCl at its relaxed geometry, with properties calculated at the GGA-PBE level.

Summary:
Fermi-level density of states (states/eV/atom): 0.35
Total DFT energy (no corrections) (eV per atom): -4.345
Crystal system: tetragonal
E_form (uncorrected) (eV per atom): 0.524

Cell lengths 4.7515, 4.7515, 5.2650 Å; angles 90.00, 90.00, 90.00 degrees
With the nearest neighbours (Å) after each atom.
Space group P4/mmm (No. 123)
Inequivalent atoms, fractional coordinates:
1 Na 0.0000 0.0000 0.0000 (multiplicity 1)  4 Zn 3.36, 8 Hf 3.55
2 Hf 0.0000 0.5000 0.5000 (multiplicity 2)  2 Cl 2.38
3 Zn 0.5000 0.5000 0.0000 (multiplicity 1)  2 Cl 2.63
4 Cl 0.5000 0.5000 0.5000 (multiplicity 1)  4 Hf 2.38, 2 Zn 2.63



Record 6
Below is crystalline Hf2NbCl at its relaxed geometry, with properties calculated at the GGA-PBE level.

Summary:
Fermi-level density of states (states/eV/atom): 0.97
Total DFT energy (no corrections) (eV per atom): -8.311
Crystal system: monoclinic
E_form (uncorrected) (eV per atom): -0.356
ΔE to the lowest computed polymorph (eV per atom): 0.0272

Cell lengths 11.5981, 3.4014, 10.0014 Å; angles 90.00, 119.81, 90.00 degrees
With the nearest neighbours (Å) after each atom.
Space group Cm (No. 8)
Inequivalent atoms, fractional coordinates:
1 Hf 0.0000 0.0000 0.0000 (multiplicity 2)  1 Cl 2.76, 4 Nb 2.86-2.91
2 Hf 0.0856 0.0000 0.3551 (multiplicity 2)  2 Cl 2.83, 4 Nb 2.90-2.98
3 Hf 0.1864 0.5000 0.8945 (multiplicity 2)  3 Cl 2.72-2.77, 2 Nb 2.86
4 Hf 0.4000 0.0000 0.4437 (multiplicity 2)  3 Cl 2.69-2.92, 2 Nb 2.83
5 Nb 0.2088 0.5000 0.2150 (multiplicity 2)  7 Hf 2.83-3.08, 2 Nb 3.01
6 Nb 0.3770 0.0000 0.1300 (multiplicity 2)  7 Hf 2.86-3.01, 2 Nb 3.01
7 Cl 0.1668 0.5000 0.6122 (multiplicity 2)  4 Hf 2.69-2.83
8 Cl 0.4775 0.5000 0.7122 (multiplicity 2)  5 Hf 2.76-2.92



Record 7
Below is crystalline Hf2NbCl at its relaxed geometry, with properties calculated at the GGA-PBE level.

Summary:
Fermi-level density of states (states/eV/atom): 0.87
Total DFT energy (no corrections) (eV per atom): -8.333
Crystal system: orthorhombic
E_form (uncorrected) (eV per atom): -0.377
ΔE to the lowest computed polymorph (eV per atom): 0.0056

Cell lengths 3.4361, 3.2883, 16.1891 Å; angles 90.00, 90.00, 90.00 degrees
With the nearest neighbours (Å) after each atom.
Space group Amm2 (No. 38)
Inequivalent atoms, fractional coordinates:
1 Hf 0.0000 0.0000 0.0000 (multiplicity 2)  1 Cl 2.62, 4 Nb 2.88
2 Hf 0.0000 0.0000 0.2063 (multiplicity 2)  2 Cl 2.70, 4 Nb 2.93
3 Nb 0.5000 0.0000 0.6008 (multiplicity 2)  8 Hf 2.88-2.93
4 Cl 0.0000 0.0000 0.8383 (multiplicity 2)  3 Hf 2.62-2.70



Record 8
Below is crystalline Hf2NbCl at its relaxed geometry, with properties calculated at the GGA-PBE level.

Summary:
Fermi-level density of states (states/eV/atom): 0.87
Total DFT energy (no corrections) (eV per atom): -8.338
Crystal system: orthorhombic
E_form (uncorrected) (eV per atom): -0.382
ΔE to the lowest computed polymorph (eV per atom): 0.0011

Cell lengths 3.2970, 6.7838, 16.2764 Å; angles 90.00, 90.00, 90.00 degrees
With the nearest neighbours (Å) after each atom.
Space group Immm (No. 71)
Inequivalent atoms, fractional coordinates:
1 Hf 0.0000 0.0000 0.0997 (multiplicity 4)  1 Cl 2.62, 4 Nb 2.88
2 Hf 0.0000 0.5000 0.1071 (multiplicity 4)  2 Cl 2.71, 4 Nb 2.93
3 Nb 0.0000 0.2471 0.5000 (multiplicity 4)  8 Hf 2.88-2.93
4 Cl 0.0000 0.0000 0.2604 (multiplicity 4)  3 Hf 2.62-2.71